Entry from Alexandria: an optimized crystal structure of Sc2AgCl (PBE).

Values from the calculation:
* uncorrected formation energy: -650.0 meV/atom
* distance to the lowest polymorph of the same formula: 16 meV/atom
* E: -4.99 eV per atom
* DOS at the Fermi energy: 0.7996 states/eV per atom
* density: 4.45 g cm⁻³

abc: 3.303 3.476 7.574
angles: 89.99 90.00 90.00
Element x y z (fractional)
Sc  0.000  0.750  0.474
Sc  0.000  0.750  0.026
Ag  0.500  0.250  0.250
Cl  0.500  0.750  0.750